# meta-GGA SCAN RbHfPd3, PBEsol geometry
data_RbHfPd3
_space_group_name_H-M_alt 'P m -3 m'
_space_group_IT_number 221
_space_group_name_Hall '-P 4 2 3'
_cell_length_a 4.8707
_cell_length_b 4.8707
_cell_length_c 4.8707
_cell_angle_alpha 90.00
_cell_angle_beta 90.00
_cell_angle_gamma 90.00
loop_
_atom_site_label
_atom_site_type_symbol
_atom_site_fract_x
_atom_site_fract_y
_atom_site_fract_z
Rb1 Rb 0.0000 0.0000 0.0000
Hf1 Hf 0.5000 0.5000 0.5000
Pd1 Pd 0.0000 0.0000 0.5000
# calculated formation energy: 1.75 eV per atom

=====

# meta-GGA SCAN RbHfTc2Pd, PBEsol geometry
data_RbHfTc2Pd
_space_group_name_H-M_alt 'P 4/m m m'
_space_group_IT_number 123
_space_group_name_Hall '-P 4 2'
_cell_length_a 4.9853
_cell_length_b 4.9853
_cell_length_c 4.8698
_cell_angle_alpha 90.00
_cell_angle_beta 90.00
_cell_angle_gamma 90.00
loop_
_atom_site_label
_atom_site_type_symbol
_atom_site_fract_x
_atom_site_fract_y
_atom_site_fract_z
Rb1 Rb 0.0000 0.0000 0.0000
Hf1 Hf 0.5000 0.5000 0.0000
Tc1 Tc 0.0000 0.5000 0.5000
Pd1 Pd 0.5000 0.5000 0.5000
# calculated formation energy: 1.51 eV per atom

=====

# meta-GGA SCAN Hf2RePd, PBEsol geometry
data_Hf2RePd
_space_group_name_H-M_alt 'F m -3 m'
_space_group_IT_number 225
_space_group_name_Hall '-F 4 2 3'
_cell_length_a 6.5002
_cell_length_b 6.5002
_cell_length_c 6.5002
_cell_angle_alpha 90.00
_cell_angle_beta 90.00
_cell_angle_gamma 90.00
loop_
_atom_site_label
_atom_site_type_symbol
_atom_site_fract_x
_atom_site_fract_y
_atom_site_fract_z
Hf1 Hf 0.2500 0.2500 0.2500
Re1 Re 0.0000 0.0000 0.0000
Pd1 Pd 0.0000 0.0000 0.5000
# calculated formation energy: -0.67 eV per atom

=====

# meta-GGA SCAN HfRe2SbPd, PBEsol geometry
data_HfRe2SbPd
_space_group_name_H-M_alt 'P 4/m m m'
_space_group_IT_number 123
_space_group_name_Hall '-P 4 2'
_cell_length_a 4.7179
_cell_length_b 4.7179
_cell_length_c 4.7888
_cell_angle_alpha 90.00
_cell_angle_beta 90.00
_cell_angle_gamma 90.00
loop_
_atom_site_label
_atom_site_type_symbol
_atom_site_fract_x
_atom_site_fract_y
_atom_site_fract_z
Hf1 Hf 0.0000 0.0000 0.0000
Re1 Re 0.0000 0.5000 0.5000
Sb1 Sb 0.5000 0.5000 0.0000
Pd1 Pd 0.0000 0.0000 0.5000
# formation energy (no corrections): 1.616 eV/atom

=====

# meta-GGA SCAN HfPd3Rh, PBEsol geometry
data_HfPd3Rh
_space_group_name_H-M_alt 'P m -3 m'
_space_group_IT_number 221
_space_group_name_Hall '-P 4 2 3'
_cell_length_a 4.6493
_cell_length_b 4.6493
_cell_length_c 4.6493
_cell_angle_alpha 90.00
_cell_angle_beta 90.00
_cell_angle_gamma 90.00
loop_
_atom_site_label
_atom_site_type_symbol
_atom_site_fract_x
_atom_site_fract_y
_atom_site_fract_z
Hf1 Hf 0.0000 0.0000 0.0000
Pd1 Pd 0.0000 0.5000 0.5000
Rh1 Rh 0.5000 0.5000 0.5000
# calculated formation energy: 1.01 eV per atom

=====

# meta-GGA SCAN HfSi2PdRh, PBEsol geometry
data_HfSi2PdRh
_space_group_name_H-M_alt 'P 4/m m m'
_space_group_IT_number 123
_space_group_name_Hall '-P 4 2'
_cell_length_a 4.4184
_cell_length_b 4.4184
_cell_length_c 4.9672
_cell_angle_alpha 90.00
_cell_angle_beta 90.00
_cell_angle_gamma 90.00
loop_
_atom_site_label
_atom_site_type_symbol
_atom_site_fract_x
_atom_site_fract_y
_atom_site_fract_z
Hf1 Hf 0.0000 0.0000 0.0000
Si1 Si 0.0000 0.5000 0.5000
Pd1 Pd 0.5000 0.5000 0.0000
Rh1 Rh 0.0000 0.0000 0.5000
# formation energy (no corrections): 0.246 eV/atom

=====

# meta-GGA SCAN HfSbPd, PBEsol geometry
data_HfSbPd
_space_group_name_H-M_alt 'P n m a'
_space_group_IT_number 62
_cell_length_a 6.5489
_cell_length_b 4.3688
_cell_length_c 7.8971
_cell_angle_alpha 90.00
_cell_angle_beta 90.00
_cell_angle_gamma 90.00
loop_
_space_group_symop_operation_xyz
'x,y,z'
'-x,-y,-z'
'-x+1/2,-y,z+1/2'
'x+1/2,y,-z+1/2'
'x+1/2,-y+1/2,-z+1/2'
'-x+1/2,y+1/2,z+1/2'
'-x,y+1/2,-z'
'x,-y+1/2,z'
loop_
_atom_site_label
_atom_site_type_symbol
_atom_site_fract_x
_atom_site_fract_y
_atom_site_fract_z
Hf1 Hf 0.0149 0.2500 0.2076
Sb1 Sb 0.2395 0.7500 0.4008
Pd1 Pd 0.1727 0.2500 0.5759
# formation energy (no corrections): -0.661 eV/atom

=====

# meta-GGA SCAN HfSc3Pd, PBEsol geometry
data_HfSc3Pd
_space_group_name_H-M_alt 'P m -3 m'
_space_group_IT_number 221
_space_group_name_Hall '-P 4 2 3'
_cell_length_a 4.9495
_cell_length_b 4.9495
_cell_length_c 4.9495
_cell_angle_alpha 90.00
_cell_angle_beta 90.00
_cell_angle_gamma 90.00
loop_
_atom_site_label
_atom_site_type_symbol
_atom_site_fract_x
_atom_site_fract_y
_atom_site_fract_z
Hf1 Hf 0.0000 0.0000 0.0000
Sc1 Sc 0.0000 0.5000 0.5000
Pd1 Pd 0.5000 0.5000 0.5000
# calculated formation energy: 0.12 eV per atom

=====

# meta-GGA SCAN HfScPd3, PBEsol geometry
data_HfScPd3
_space_group_name_H-M_alt 'P m -3 m'
_space_group_IT_number 221
_space_group_name_Hall '-P 4 2 3'
_cell_length_a 4.6191
_cell_length_b 4.6191
_cell_length_c 4.6191
_cell_angle_alpha 90.00
_cell_angle_beta 90.00
_cell_angle_gamma 90.00
loop_
_atom_site_label
_atom_site_type_symbol
_atom_site_fract_x
_atom_site_fract_y
_atom_site_fract_z
Hf1 Hf 0.0000 0.0000 0.0000
Sc1 Sc 0.5000 0.5000 0.5000
Pd1 Pd 0.0000 0.5000 0.5000
# calculated formation energy: 0.29 eV per atom

=====

# meta-GGA SCAN HfScSi2Pd, PBEsol geometry
data_HfScSi2Pd
_space_group_name_H-M_alt 'P 4/m m m'
_space_group_IT_number 123
_space_group_name_Hall '-P 4 2'
_cell_length_a 4.7310
_cell_length_b 4.7310
_cell_length_c 4.5146
_cell_angle_alpha 90.00
_cell_angle_beta 90.00
_cell_angle_gamma 90.00
loop_
_atom_site_label
_atom_site_type_symbol
_atom_site_fract_x
_atom_site_fract_y
_atom_site_fract_z
Hf1 Hf 0.0000 0.0000 0.0000
Sc1 Sc 0.5000 0.5000 0.5000
Si1 Si 0.0000 0.5000 0.5000
Pd1 Pd 0.5000 0.5000 0.0000
# formation energy (no corrections): 0.743 eV/atom

=====

# meta-GGA SCAN HfSiPd2Se, PBEsol geometry
data_HfSiPd2Se
_space_group_name_H-M_alt 'P 4/m m m'
_space_group_IT_number 123
_space_group_name_Hall '-P 4 2'
_cell_length_a 4.3982
_cell_length_b 4.3982
_cell_length_c 5.0085
_cell_angle_alpha 90.00
_cell_angle_beta 90.00
_cell_angle_gamma 90.00
loop_
_atom_site_label
_atom_site_type_symbol
_atom_site_fract_x
_atom_site_fract_y
_atom_site_fract_z
Hf1 Hf 0.0000 0.0000 0.0000
Si1 Si 0.0000 0.0000 0.5000
Pd1 Pd 0.0000 0.5000 0.5000
Se1 Se 0.5000 0.5000 0.0000
# formation energy (no corrections): 0.040 eV/atom

=====

# meta-GGA SCAN HfSn3Pd, PBEsol geometry
data_HfSn3Pd
_space_group_name_H-M_alt 'P m -3 m'
_space_group_IT_number 221
_space_group_name_Hall '-P 4 2 3'
_cell_length_a 5.3643
_cell_length_b 5.3643
_cell_length_c 5.3643
_cell_angle_alpha 90.00
_cell_angle_beta 90.00
_cell_angle_gamma 90.00
loop_
_atom_site_label
_atom_site_type_symbol
_atom_site_fract_x
_atom_site_fract_y
_atom_site_fract_z
Hf1 Hf 0.0000 0.0000 0.0000
Sn1 Sn 0.0000 0.0000 0.5000
Pd1 Pd 0.5000 0.5000 0.5000
# calculated formation energy: 0.71 eV per atom